[1]
Entry from Alexandria via LeMat-Bulk: a geometry-optimized Sm7TlIn2 structure (PBE-GGA).

Output
Final energy (eV/cell): -42.10
Formation enthalpy at 0 K (eV per atom): -0.122

a = 5.408 Å, b = 5.408 Å, c = 12.922 Å
α = 90.00°, β = 90.00°, γ = 120.00°
Element x y z (fractional)
1 Sm 0.000 0.000 0.000
2 Sm 0.000 0.000 0.261
3 Sm 0.000 0.000 0.525
4 Sm 0.333 0.667 0.137
5 Sm 0.333 0.667 0.678
6 Sm 0.667 0.333 0.385
7 Sm 0.667 0.333 0.849
8 Tl 0.333 0.667 0.411
9 In 0.000 0.000 0.763
10 In 0.667 0.333 0.116

***

[2]
Entry from Alexandria via LeMat-Bulk: a geometry-optimized Rh2PbAu structure (PBE-GGA).

Output
Final energy (eV/cell): -40.37
Formation enthalpy at 0 K (eV per atom): 0.376

a = 9.929 Å, b = 9.929 Å, c = 9.929 Å
α = 156.31°, β = 156.31°, γ = 33.75°
Element x y z (fractional)
1 Rh 0.077 0.625 0.952
2 Rh 0.375 0.327 0.452
3 Rh 0.673 0.125 0.048
4 Rh 0.875 0.923 0.548
5 Pb 0.250 0.750 0.500
6 Pb 0.500 0.500 0.000
7 Au 0.000 0.000 0.000
8 Au 0.750 0.250 0.500

***

[3]
Entry from Alexandria via LeMat-Bulk: a geometry-optimized PrY7Tm12 structure (PBE-GGA).

Output
Final energy (eV/cell): -98.65
Formation enthalpy at 0 K (eV per atom): 0.252

a = 8.663 Å, b = 8.663 Å, c = 8.663 Å
α = 87.45°, β = 87.45°, γ = 87.45°
Element x y z (fractional)
1 Pr 0.000 0.000 0.000
2 Y 0.002 0.879 0.366
3 Y 0.121 0.634 0.998
4 Y 0.366 0.002 0.879
5 Y 0.500 0.500 0.500
6 Y 0.634 0.998 0.121
7 Y 0.879 0.366 0.002
8 Y 0.998 0.121 0.634
9 Tm 0.108 0.436 0.347
10 Tm 0.236 0.358 0.763
11 Tm 0.237 0.764 0.642
12 Tm 0.347 0.108 0.436
13 Tm 0.358 0.763 0.236
14 Tm 0.436 0.347 0.108
15 Tm 0.564 0.653 0.892
16 Tm 0.642 0.237 0.764
17 Tm 0.653 0.892 0.564
18 Tm 0.763 0.236 0.358
19 Tm 0.764 0.642 0.237
20 Tm 0.892 0.564 0.653

***

[4]
Entry from Alexandria via LeMat-Bulk: a geometry-optimized Sr2CdGeP structure (PBE-GGA).

Output
Final energy (eV/cell): -14.65
Formation enthalpy at 0 K (eV per atom): -0.069

a = 5.912 Å, b = 5.912 Å, c = 4.865 Å
α = 90.00°, β = 90.00°, γ = 90.00°
Element x y z (fractional)
1 Sr 0.000 0.500 0.000
2 Sr 0.500 0.000 0.000
3 Cd 0.000 0.000 0.500
4 Ge 0.000 0.000 0.000
5 P 0.500 0.500 0.500